(1)
DFT (PBE-GGA) results for a relaxed Ga2SbW crystal.

Results
Magnetic moment   0.000 μB/atom
SG   No. 122
Density of states at the Fermi level   7.94 states/eV/cell
Raw formation energy   1.11 eV per atom

a = 6.093 Å, b = 6.093 Å, c = 7.317 Å
α = 65.40°, β = 65.40°, γ = 90.00°
Atoms (fractional coordinates):
1 Ga 0.654 0.125 0.250
2 Ga 0.096 0.625 0.250
3 Ga 0.875 0.904 0.750
4 Ga 0.375 0.346 0.750
5 Sb 0.250 0.750 0.500
6 Sb 0.500 0.500 0.000
7 W 0.000 0.000 0.000
8 W 0.750 0.250 0.500

***

(2)
DFT (PBE-GGA) results for a relaxed LaReIN2 crystal.

Results
Energy above the most stable polymorph in this dataset   1.384 eV/atom
Magnetic moment   0.894 μB/atom
SG   No. 123
Density of states at the Fermi level   3.99 states/eV/cell
Raw formation energy   1.62 eV per atom

a = 4.330 Å, b = 4.330 Å, c = 6.701 Å
α = 90.00°, β = 90.00°, γ = 90.00°
Each line ends with the local moment (μB).
Atoms (fractional coordinates):
1 N 0.500 0.000 0.000  -0.02
2 N 0.000 0.500 0.000  -0.02
3 I 0.000 0.000 0.500  0.05
4 La 0.000 0.000 0.000  0.01
5 Re 0.500 0.500 0.500  3.63

***

(3)
DFT (PBE-GGA) results for a relaxed SmY2Si2Pt7 crystal.

Results
Magnetic moment   0.000 μB/atom
SG   No. 12
Density of states at the Fermi level   5.18 states/eV/cell
Raw formation energy   -1.09 eV per atom

a = 4.065 Å, b = 4.065 Å, c = 13.825 Å
α = 83.78°, β = 83.78°, γ = 89.36°
Atoms (fractional coordinates):
1 Pt 0.500 0.500 0.000
2 Pt 0.633 0.633 0.571
3 Pt 0.439 0.938 0.165
4 Pt 0.367 0.367 0.429
5 Pt 0.062 0.561 0.835
6 Pt 0.561 0.062 0.835
7 Pt 0.938 0.439 0.165
8 Si 0.404 0.404 0.259
9 Si 0.596 0.596 0.741
10 Y 0.117 0.117 0.642
11 Y 0.883 0.883 0.358
12 Sm 0.000 0.000 0.000

***

(4)
DFT (PBE-GGA) results for a relaxed Pm2Pt9Au crystal.

Results
Magnetic moment   0.000 μB/atom
Calculated formation energy   -6.833 eV/f.u.
SG   No. 166
Density of states at the Fermi level   8.42 states/eV/cell

a = 5.432 Å, b = 5.432 Å, c = 9.377 Å
α = 73.16°, β = 73.16°, γ = 60.00°
Atoms (fractional coordinates):
1 Pt 0.667 0.667 0.998
2 Pt 0.587 0.081 0.746
3 Pt 0.919 0.413 0.254
4 Pt 0.587 0.587 0.746
5 Pt 0.081 0.587 0.746
6 Pt 0.413 0.413 0.254
7 Pt 0.333 0.333 0.002
8 Pt 0.413 0.919 0.254
9 Pt 0.500 0.500 0.500
10 Pm 0.866 0.866 0.402
11 Pm 0.134 0.134 0.598
12 Au 0.000 0.000 0.000

***

(5)
DFT (PBE-GGA) results for a relaxed Li2TiTlO4 crystal.

Results
Magnetic moment   0.000 μB/atom
SG   No. 121
Density of states at the Fermi level   2.67 states/eV/cell
Raw formation energy   -2.03 eV per atom

a = 5.116 Å, b = 5.409 Å, c = 5.409 Å
α = 56.45°, β = 61.78°, γ = 61.78°
Atoms (fractional coordinates):
1 Ti 0.500 0.500 0.500
2 O 0.429 0.159 0.571
3 O 0.841 0.571 0.159
4 O 0.571 0.429 0.841
5 O 0.159 0.841 0.429
6 Li 0.250 0.250 0.250
7 Li 0.750 0.750 0.750
8 Tl 0.000 0.000 0.000

***

(6)
DFT (PBE-GGA) results for a relaxed Al2TlSe crystal.

Results
Energy above the most stable polymorph in this dataset   0.287 eV/atom
Magnetic moment   0.000 μB/atom
SG   No. 65
Density of states at the Fermi level   1.47 states/eV/cell
Raw formation energy   0.17 eV per atom

a = 4.972 Å, b = 4.972 Å, c = 3.612 Å
α = 90.00°, β = 90.00°, γ = 96.49°
Atoms (fractional coordinates):
1 Tl 0.000 0.500 0.500
2 Al 0.500 0.500 0.000
3 Al 0.000 0.000 0.000
4 Se 0.500 0.000 0.500

***

(7)
DFT (PBE-GGA) results for a relaxed MgTl2As crystal.

Results
Energy above the most stable polymorph in this dataset   0.142 eV/atom
Magnetic moment   0.000 μB/atom
Calculated formation energy   0.099 eV/f.u.
SG   No. 122
Density of states at the Fermi level   2.03 states/eV/cell

a = 8.536 Å, b = 8.536 Å, c = 6.723 Å
α = 50.59°, β = 50.59°, γ = 90.00°
Atoms (fractional coordinates):
1 As 0.750 0.250 0.500
2 As 0.000 0.000 0.000
3 Tl 0.092 0.625 0.250
4 Tl 0.375 0.342 0.750
5 Tl 0.658 0.125 0.250
6 Tl 0.875 0.908 0.750
7 Mg 0.250 0.750 0.500
8 Mg 0.500 0.500 0.000

***

(8)
DFT (PBE-GGA) results for a relaxed CaOs2Ru crystal.

Results
Energy above the most stable polymorph in this dataset   0.277 eV/atom
Magnetic moment   0.300 μB/atom
Calculated formation energy   2.730 eV/f.u.
SG   No. 22
Density of states at the Fermi level   5.20 states/eV/cell

a = 4.498 Å, b = 4.498 Å, c = 4.506 Å
α = 119.99°, β = 119.99°, γ = 89.93°
Each line ends with the local moment (μB).
Atoms (fractional coordinates):
1 Ca 0.750 0.250 0.500  -0.01
2 Ru 0.500 0.500 0.000  0.56
3 Os 0.250 0.750 0.500  0.58
4 Os 0.000 0.000 0.000  0.05

***

Which value of magnetic moment does entry 7 give?
0.000 μB/atom